Material: AlHg2Sb
Method: DFT, GGA-PBE
State: optimized geometry

Cell and atoms, written as POSCAR:
```
AlHg2Sb
1.0
-1.399 -2.943 -4.052
4.311 1.313 -2.593
0.286 -2.022 4.781
Hg Al Sb
2 1 1
Cartesian
3.026 -0.762 -0.567
0.000 0.000 0.000
0.171 -2.890 -1.296
1.456 -0.815 -3.322
```

Fermi-level density of states: 1.039 states/eV per cell
space group: No. 119
polymorph energy (0 for the lowest one): 11.5 kJ per mole of atoms
raw formation energy: 0.184 eV/atom
total magnetic moment: 0.0000 μB/atom